A plane-wave DFT calculation with PBE-GGA was carried out for a relaxed structure of DyMgCdIn.

Geometry as POSCAR:
```
DyMgCdIn
1.0
5.142 0.000 0.000
2.571 4.453 0.000
2.571 1.484 4.199
In Mg Cd Dy
1 1 1 1
direct
0.250 0.250 0.250
0.000 0.000 0.000
0.750 0.750 0.750
0.500 0.500 0.500
```

Computed properties:
- space group = F-43m, No. 216
- formation enthalpy at 0 K (eV/atom) = -0.32
- energy above the most stable polymorph in this dataset (meV/atom) = 17

A plane-wave DFT calculation with PBE-GGA was carried out for a relaxed structure of DyMgCdIn.

Geometry as POSCAR:
```
DyMgCdIn
1.0
-0.726 -1.842 -3.734
4.556 -1.308 -0.240
-1.070 -4.140 2.250
In Dy Cd Mg
1 1 1 1
direct
0.000 0.500 0.500
0.500 0.000 0.500
0.000 0.000 0.000
0.500 0.500 0.000
```

Computed properties:
- space group = Pmmm, No. 47
- formation enthalpy at 0 K (eV/atom) = -0.33
- energy above the most stable polymorph in this dataset (meV/atom) = 0

A plane-wave DFT calculation with PBE-GGA was carried out for a relaxed structure of Nd2DyCd2In2.

Geometry as POSCAR:
```
Nd2DyCd2In2
1.0
-1.799 -3.718 -2.751
-1.740 -4.096 2.196
-9.561 1.164 0.202
Nd Cd In Dy
2 2 2 1
direct
0.872 0.872 0.383
0.128 0.128 0.617
0.608 0.608 0.177
0.392 0.392 0.823
0.263 0.263 0.210
0.737 0.737 0.790
0.000 0.000 0.000
```

Computed properties:
- space group = R-3m, No. 166
- formation enthalpy at 0 K (eV/atom) = -0.28

A plane-wave DFT calculation with PBE-GGA was carried out for a relaxed structure of Dy4CdInO.

Geometry as POSCAR:
```
Dy4CdInO
1.0
6.609 0.000 0.000
0.000 6.611 0.000
-3.304 0.000 8.019
Cd O In Dy
2 2 2 8
direct
0.384 0.250 0.769
0.616 0.750 0.231
0.750 0.250 0.501
0.250 0.750 0.499
0.113 0.250 0.227
0.887 0.750 0.773
0.000 0.000 0.500
0.500 0.500 0.500
0.000 0.500 0.500
0.577 0.250 0.154
0.423 0.750 0.846
0.920 0.250 0.839
0.500 0.000 0.500
0.080 0.750 0.161
```

Computed properties:
- space group = Cmcm, No. 63
- energy relative to the elements, uncorrected (eV/f.u.) = -7.1

A plane-wave DFT calculation with PBE-GGA was carried out for a relaxed structure of DyCdInPb.

Geometry as POSCAR:
```
DyCdInPb
1.0
4.559 0.000 0.000
0.000 4.675 0.000
0.000 0.000 4.826
Dy Cd In Pb
1 1 1 1
direct
0.500 0.000 0.500
0.500 0.500 0.000
0.000 0.000 0.000
0.000 0.500 0.500
```

Computed properties:
- space group = Pmmm, No. 47
- formation enthalpy at 0 K (eV/atom) = -0.35
- energy above the most stable polymorph in this dataset (meV/atom) = 0

A plane-wave DFT calculation with PBE-GGA was carried out for a relaxed structure of DyCdInPb.

Geometry as POSCAR:
```
DyCdInPb
1.0
-2.681 -3.439 -3.093
-2.489 -4.191 2.196
-5.341 -0.147 0.173
Dy In Pb Cd
1 1 1 1
direct
0.250 0.250 0.250
0.000 0.000 0.000
0.500 0.500 0.500
0.750 0.750 0.750
```

Computed properties:
- space group = F-43m, No. 216
- formation enthalpy at 0 K (eV/atom) = -0.13
- energy above the most stable polymorph in this dataset (meV/atom) = 221

A plane-wave DFT calculation with PBE-GGA was carried out for a relaxed structure of DyCdInPd.

Geometry as POSCAR:
```
DyCdInPd
1.0
4.934 0.000 0.000
2.467 4.273 0.000
2.467 1.424 4.029
Cd In Pd Dy
1 1 1 1
direct
0.250 0.250 0.250
0.000 0.000 0.000
0.750 0.750 0.750
0.500 0.500 0.500
```

Computed properties:
- space group = F-43m, No. 216
- formation enthalpy at 0 K (eV/atom) = -0.53

A plane-wave DFT calculation with PBE-GGA was carried out for a relaxed structure of Dy4Cd2InPd.

Geometry as POSCAR:
```
Dy4Cd2InPd
1.0
5.222 0.000 0.000
2.611 4.522 0.000
2.611 1.507 8.469
In Dy Cd Pd
1 4 2 1
direct
0.000 0.000 0.000
0.618 0.618 0.146
0.870 0.870 0.390
0.130 0.130 0.610
0.382 0.382 0.854
0.745 0.745 0.765
0.255 0.255 0.235
0.500 0.500 0.500
```

Computed properties:
- space group = R-3m, No. 166
- formation enthalpy at 0 K (eV/atom) = -0.49